Entry 1:
# Sc2ZnP, optimized geometry, DFT PBE
# offset from the most stable computed form: 0 meV per atom
# formation enthalpy at 0 K: -0.85 eV per atom
# density: 4.274 g cm⁻³
data_Sc2ZnP
_chemical_formula_sum 'Sc4 Zn2 P2'
_symmetry_space_group_name_H-M 'A m m 2'
_symmetry_Int_Tables_number 38
_symmetry_space_group_name_Hall 'A 2 -2'
_cell_length_a 3.716
_cell_length_b 3.887
_cell_length_c 10.021
_cell_angle_alpha 90.00
_cell_angle_beta 90.00
_cell_angle_gamma 90.00
loop_
_atom_site_label
_atom_site_type_symbol
_atom_site_fract_x
_atom_site_fract_y
_atom_site_fract_z
Sc1 Sc 0.000 0.000 0.000
Sc2 Sc 0.500 0.000 0.286
Zn1 Zn 0.500 0.000 0.563
P1 P 0.000 0.000 0.728

Entry 2:
# Ag2Mo, optimized geometry, DFT PBE
# offset from the most stable computed form: 18 meV per atom
# formation enthalpy at 0 K: 0.41 eV per atom
# density: 10.163 g cm⁻³
data_Ag2Mo
_chemical_formula_sum 'Ag2 Mo1'
_symmetry_space_group_name_H-M 'P -3 m 1'
_symmetry_Int_Tables_number 164
_symmetry_space_group_name_Hall '-P 3 2"'
_cell_length_a 2.8167
_cell_length_b 2.8167
_cell_length_c 7.4118
_cell_angle_alpha 90.00
_cell_angle_beta 90.00
_cell_angle_gamma 120.00
loop_
_atom_site_label
_atom_site_type_symbol
_atom_site_fract_x
_atom_site_fract_y
_atom_site_fract_z
Ag1 Ag 0.3333 0.6667 0.1689
Mo1 Mo 0.0000 0.0000 0.5000

Entry 3:
# Dy2Th2Te7, optimized geometry, DFT PBE
# formation energy (no corrections): -13.882 eV/f.u.
# density: 8.091 g cm⁻³
data_Dy2Th2Te7
_chemical_formula_sum 'Dy4 Th4 Te14'
_symmetry_space_group_name_H-M 'I m m 2'
_symmetry_Int_Tables_number 44
_symmetry_space_group_name_Hall 'I 2 -2'
_cell_length_a 4.420
_cell_length_b 15.859
_cell_length_c 9.850
_cell_angle_alpha 90.00
_cell_angle_beta 90.00
_cell_angle_gamma 90.00
loop_
_atom_site_label
_atom_site_type_symbol
_atom_site_fract_x
_atom_site_fract_y
_atom_site_fract_z
Dy1 Dy 0.000 0.000 0.000
Dy2 Dy 0.000 0.500 0.042
Th1 Th 0.000 0.236 0.232
Te1 Te 0.000 0.000 0.311
Te2 Te 0.000 0.109 0.722
Te3 Te 0.000 0.320 0.936
Te4 Te 0.000 0.359 0.531

Entry 4:
# Dy6Tl3TeSe2, optimized geometry, DFT PBE
# formation energy (no corrections): -11.412 eV/f.u.
# density: 9.336 g cm⁻³
data_Dy6Tl3TeSe2
_chemical_formula_sum 'Dy12 Tl6 Te2 Se4'
_symmetry_space_group_name_H-M 'C 1 2/m 1'
_symmetry_Int_Tables_number 12
_symmetry_space_group_name_Hall '-C 2y'
_cell_length_a 19.624
_cell_length_b 4.047
_cell_length_c 9.129
_cell_angle_alpha 90.00
_cell_angle_beta 113.18
_cell_angle_gamma 90.00
loop_
_atom_site_label
_atom_site_type_symbol
_atom_site_fract_x
_atom_site_fract_y
_atom_site_fract_z
Dy1 Dy 0.011 0.000 0.251
Dy2 Dy 0.168 0.500 0.096
Dy3 Dy 0.173 0.500 0.562
Tl1 Tl 0.000 0.500 0.500
Tl2 Tl 0.160 0.000 0.818
Te1 Te 0.000 0.500 0.000
Se1 Se 0.168 0.000 0.328

| no. | Fermi-level density of states (states/eV/atom) |
| --- | --- |
| 1 | 0.3795 |
| 2 | 0.8759 |
| 3 | 0.1138 |
| 4 | 0.5213 |